Record 1
A relaxed structure of Zn2AgRu, computed with PBE.

- ΔE_f: 0.12 eV/atom
- E_tot: -3.552 eV/atom

a b c (Å): 8.6882 2.8160 5.0757
angles (deg): 90.00 100.20 90.00
With the nearest neighbours (Å) after each atom.
Space group C2/m (No. 12)
One atom of each set of equivalent atoms:
Zn (0.2457, 0.0000, 0.2290) x4  3 Ru 2.65-2.67, 4 Zn 2.73-2.82, 3 Ag 2.74-2.77
Ag (0.0000, 0.0000, 0.5000) x2  6 Zn 2.74-2.77, 2 Ag 2.82, 4 Ru 2.90
Ru (0.0000, 0.5000, 0.0000) x2  6 Zn 2.65-2.67, 2 Ru 2.82, 4 Ag 2.90

Record 2
A relaxed structure of Zr2AgRu, computed with PBE.

- ΔE_f: -0.07 eV/atom
- E_tot: -7.380 eV/atom

a b c (Å): 4.0845 4.0845 8.9923
angles (deg): 90.00 90.00 90.00
With the nearest neighbours (Å) after each atom.
Space group I-4m2 (No. 119)
One atom of each set of equivalent atoms:
Zr (0.0000, 0.0000, 0.0000) x2  4 Ru 2.89, 4 Zr 3.04, 4 Ag 3.04
Zr (0.0000, 0.5000, 0.2500) x2  4 Ag 2.89, 4 Zr 3.04, 4 Ru 3.04
Ag (0.0000, 0.5000, 0.7500) x2  8 Zr 2.89-3.04, 4 Ru 3.04
Ru (0.0000, 0.0000, 0.5000) x2  8 Zr 2.89-3.04, 4 Ag 3.04

Record 3
A relaxed structure of ZrAg2Ru, computed with PBE.

- ΔE_f: 0.12 eV/atom
- E_tot: -5.758 eV/atom

a b c (Å): 2.8495 4.8539 5.2969
angles (deg): 90.00 104.84 90.00
With the nearest neighbours (Å) after each atom.
Space group P2/m (No. 10)
One atom of each set of equivalent atoms:
Zr (0.0000, 0.0000, 0.0000) x1  2 Ru 2.67, 2 Zr 2.85
Ag (0.3159, 0.5000, 0.7382) x2  5 Ag 2.70-2.97, 2 Ru 2.85
Ru (0.5000, 0.0000, 0.5000) x1  2 Zr 2.67, 4 Ag 2.85, 2 Ru 2.85

Record 4
A relaxed structure of Zr2AgRu2, computed with PBE.

- ΔE_f: -0.26 eV/atom
- E_tot: -7.961 eV/atom

a b c (Å): 7.5094 7.5094 3.2639
angles (deg): 90.00 90.00 90.00
With the nearest neighbours (Å) after each atom.
Space group P4/mbm (No. 127)
One atom of each set of equivalent atoms:
Zr (0.1603, 0.3397, 0.0000) x4  6 Ru 2.69-2.78
Ag (0.0000, 0.0000, 0.5000) x2  4 Ru 2.91
Ru (0.1380, 0.6380, 0.5000) x4  6 Zr 2.69-2.78, 2 Ag 2.91, 1 Ru 2.93

Record 5
A relaxed structure of ZrAg4Ru, computed with PBE.

- ΔE_f: 0.32 eV/atom
- E_tot: -4.553 eV/atom

a b c (Å): 7.5700 7.5700 7.5700
angles (deg): 90.00 90.00 90.00
With the nearest neighbours (Å) after each atom.
Space group F-43m (No. 216)
One atom of each set of equivalent atoms:
Zr (0.0000, 0.0000, 0.0000) x4  12 Ag 3.14, 4 Ru 3.28
Ag (0.1248, 0.1248, 0.6248) x16  6 Ag 2.67-2.68
Ru (0.2500, 0.2500, 0.2500) x4  12 Ag 3.14, 4 Zr 3.28

Record 6
A relaxed structure of ZrAg2Ru, computed with PBE.

- ΔE_f: 0.21 eV/atom
- E_tot: -5.672 eV/atom

a b c (Å): 3.7964 3.7964 20.9022
angles (deg): 90.00 90.00 90.00
With the nearest neighbours (Å) after each atom.
Space group I-42d (No. 122)
One atom of each set of equivalent atoms:
Zr (0.0000, 0.0000, 0.0000) x4  4 Ru 2.68, 4 Ag 2.95
Ag (0.2417, 0.2500, 0.6250) x8  4 Ag 2.64-2.73, 2 Ru 2.93, 2 Zr 2.95
Ru (0.0000, 0.0000, 0.5000) x4  4 Zr 2.68, 4 Ag 2.93

- Which value of E_tot does entry 6 give?
  -5.672 eV/atom